(1)
Here is crystalline CaPuC2O8 at its relaxed geometry from Alexandria. Energies are from PBE-GGA.

Values from the calculation:
The total DFT energy (no corrections) comes out at -7.99 eV/atom. As for the uncorrected formation energy: -1786 meV/atom.

```
data_CaPuC2O8
_chemical_formula_sum 'Ca1 Pu1 C2 O8'
_cell_length_a 4.6898
_cell_length_b 4.6898
_cell_length_c 7.3835
_cell_angle_alpha 90.00
_cell_angle_beta 90.00
_cell_angle_gamma 120.00
_space_group_name_H-M_alt 'P -3'
_space_group_IT_number 147
loop_
_space_group_symop_operation_xyz
'x,y,z'
'-x,-y,-z'
'-y,x-y,z'
'y,-x+y,-z'
'-x+y,-x,z'
'x-y,x,-z'
loop_
_atom_site_label
_atom_site_fract_x
_atom_site_fract_y
_atom_site_fract_z
_atom_site_occupancy
Ca1 0.0000 0.0000 0.0000 1
Pu1 0.0000 0.0000 0.5000 1
C1 0.3333 0.6667 0.7534 1
O1 0.0638 0.3715 0.6825 1
O2 0.3333 0.6667 0.9314 1
```

***

(2)
Here is crystalline Cs2Ta3S8 at its relaxed geometry from Alexandria. Energies are from PBE-GGA.

Values from the calculation:
The total DFT energy (no corrections) comes out at -6.47 eV/atom. As for the uncorrected formation energy: -1062 meV/atom.

```
data_Cs2Ta3S8
_chemical_formula_sum 'Cs4 Ta6 S16'
_cell_length_a 17.2346
_cell_length_b 7.1313
_cell_length_c 6.2308
_cell_angle_alpha 90.00
_cell_angle_beta 105.23
_cell_angle_gamma 90.00
_space_group_name_H-M_alt 'C 1 2/m 1'
_space_group_IT_number 12
loop_
_space_group_symop_operation_xyz
'x,y,z'
'-x,-y,-z'
'-x,y,-z'
'x,-y,z'
'x+1/2,y+1/2,z'
'-x+1/2,-y+1/2,-z'
'-x+1/2,y+1/2,-z'
'x+1/2,-y+1/2,z'
loop_
_atom_site_label
_atom_site_fract_x
_atom_site_fract_y
_atom_site_fract_z
_atom_site_occupancy
Cs1 0.2464 0.0000 0.1835 1
Ta1 0.0000 0.2332 0.5000 1
Ta2 0.0000 0.5000 0.0000 1
S1 0.0823 0.2605 0.8838 1
S2 0.0846 0.5000 0.3873 1
S3 0.0919 0.0000 0.4356 1
```